# NaHfCoSn, relaxed, DFT GGA-PBE
data_NaHfCoSn
_chemical_formula_sum 'Na1 Hf1 Co1 Sn1'
_symmetry_space_group_name_H-M 'P 1'
_symmetry_Int_Tables_number 1
_cell_length_a 4.768
_cell_length_b 4.768
_cell_length_c 4.768
_cell_angle_alpha 60.00
_cell_angle_beta 60.00
_cell_angle_gamma 60.00
loop_
_symmetry_equiv_pos_as_xyz
'x,y,z'
loop_
_atom_site_label
_atom_site_type_symbol
_atom_site_fract_x
_atom_site_fract_y
_atom_site_fract_z
Na1 Na 0.000 0.000 0.000
Hf1 Hf 0.500 0.500 0.500
Co1 Co 0.250 0.250 0.250
Sn1 Sn 0.750 0.750 0.750
# Magnetic moment ... 0.318 μB per atom
# ρ ... 8.22 g/cm3
# Energy relative to the lowest polymorph listed for this composition ... 195.5 meV/atom

***

# NaLuZrNi, relaxed, DFT GGA-PBE
data_NaLuZrNi
_chemical_formula_sum 'Na1 Lu1 Zr1 Ni1'
_symmetry_space_group_name_H-M 'P 1'
_symmetry_Int_Tables_number 1
_cell_length_a 4.867
_cell_length_b 4.867
_cell_length_c 4.867
_cell_angle_alpha 60.00
_cell_angle_beta 60.00
_cell_angle_gamma 60.00
loop_
_symmetry_equiv_pos_as_xyz
'x,y,z'
loop_
_atom_site_label
_atom_site_type_symbol
_atom_site_fract_x
_atom_site_fract_y
_atom_site_fract_z
Na1 Na 0.000 0.000 0.000
Lu1 Lu 0.750 0.750 0.750
Zr1 Zr 0.500 0.500 0.500
Ni1 Ni 0.250 0.250 0.250
# Magnetic moment ... 0.000 μB per atom
# ρ ... 7.09 g/cm3
# Energy relative to the lowest polymorph listed for this composition ... 209.4 meV/atom

***

# Nb6AlOs, relaxed, DFT GGA-PBE
data_Nb6AlOs
_chemical_formula_sum 'Nb6 Al1 Os1'
_symmetry_space_group_name_H-M 'P 1'
_symmetry_Int_Tables_number 1
_cell_length_a 5.182
_cell_length_b 5.182
_cell_length_c 5.182
_cell_angle_alpha 90.00
_cell_angle_beta 90.00
_cell_angle_gamma 90.00
loop_
_symmetry_equiv_pos_as_xyz
'x,y,z'
loop_
_atom_site_label
_atom_site_type_symbol
_atom_site_fract_x
_atom_site_fract_y
_atom_site_fract_z
Nb1 Nb 0.000 0.254 0.500
Nb2 Nb 0.000 0.746 0.500
Nb3 Nb 0.254 0.500 0.000
Nb4 Nb 0.500 0.000 0.254
Nb5 Nb 0.500 0.000 0.746
Nb6 Nb 0.746 0.500 0.000
Al1 Al 0.000 0.000 0.000
Os1 Os 0.500 0.500 0.500
# Magnetic moment ... 0.000 μB per atom
# ρ ... 9.25 g/cm3
# Final energy ... -9.693 eV/atom

***

# Er3Tm2ScAs2Os, relaxed, DFT GGA-PBE
data_Er3Tm2ScAs2Os
_chemical_formula_sum 'Er3 Tm2 Sc1 As2 Os1'
_symmetry_space_group_name_H-M 'P 1'
_symmetry_Int_Tables_number 1
_cell_length_a 4.102
_cell_length_b 7.685
_cell_length_c 7.685
_cell_angle_alpha 119.72
_cell_angle_beta 90.00
_cell_angle_gamma 90.00
loop_
_symmetry_equiv_pos_as_xyz
'x,y,z'
loop_
_atom_site_label
_atom_site_type_symbol
_atom_site_fract_x
_atom_site_fract_y
_atom_site_fract_z
Er1 Er 0.000 0.000 0.000
Er2 Er 0.000 0.184 0.584
Er3 Er 0.000 0.584 0.184
Tm1 Tm 0.500 0.587 0.828
Tm2 Tm 0.500 0.828 0.587
Sc1 Sc 0.500 0.341 0.341
As1 As 0.500 0.254 0.926
As2 As 0.500 0.926 0.254
Os1 Os 0.000 0.565 0.565
# Magnetic moment ... 0.003 μB per atom
# ρ ... 9.67 g/cm3
# Final energy ... -6.293 eV/atom

***

# GdPaAl, relaxed, DFT GGA-PBE
data_GdPaAl
_chemical_formula_sum 'Gd1 Pa1 Al1'
_symmetry_space_group_name_H-M 'P 1'
_symmetry_Int_Tables_number 1
_cell_length_a 4.930
_cell_length_b 4.930
_cell_length_c 4.930
_cell_angle_alpha 60.00
_cell_angle_beta 60.00
_cell_angle_gamma 60.00
loop_
_symmetry_equiv_pos_as_xyz
'x,y,z'
loop_
_atom_site_label
_atom_site_type_symbol
_atom_site_fract_x
_atom_site_fract_y
_atom_site_fract_z
Gd1 Gd 0.000 0.000 0.000
Pa1 Pa 0.500 0.500 0.500
Al1 Al 0.250 0.250 0.250
# Magnetic moment ... 0.019 μB per atom
# ρ ... 8.14 g/cm3
# Final energy ... -5.609 eV/atom

***

# BeAlTcNi, relaxed, DFT GGA-PBE
data_BeAlTcNi
_chemical_formula_sum 'Be1 Al1 Tc1 Ni1'
_symmetry_space_group_name_H-M 'P 1'
_symmetry_Int_Tables_number 1
_cell_length_a 4.047
_cell_length_b 4.047
_cell_length_c 4.047
_cell_angle_alpha 60.00
_cell_angle_beta 60.00
_cell_angle_gamma 60.00
loop_
_symmetry_equiv_pos_as_xyz
'x,y,z'
loop_
_atom_site_label
_atom_site_type_symbol
_atom_site_fract_x
_atom_site_fract_y
_atom_site_fract_z
Be1 Be 0.000 0.000 0.000
Al1 Al 0.500 0.500 0.500
Tc1 Tc 0.250 0.250 0.250
Ni1 Ni 0.750 0.750 0.750
# Magnetic moment ... 0.002 μB per atom
# ρ ... 6.82 g/cm3
# Energy relative to the lowest polymorph listed for this composition ... 0.0 meV/atom

***

# CsScZnS3, relaxed, DFT GGA-PBE
data_CsScZnS3
_chemical_formula_sum 'Cs4 Sc4 Zn4 S12'
_symmetry_space_group_name_H-M 'P 1'
_symmetry_Int_Tables_number 1
_cell_length_a 15.506
_cell_length_b 3.896
_cell_length_c 10.359
_cell_angle_alpha 90.00
_cell_angle_beta 90.00
_cell_angle_gamma 90.00
loop_
_symmetry_equiv_pos_as_xyz
'x,y,z'
loop_
_atom_site_label
_atom_site_type_symbol
_atom_site_fract_x
_atom_site_fract_y
_atom_site_fract_z
Cs1 Cs 0.238 0.250 0.040
Cs2 Cs 0.262 0.750 0.540
Cs3 Cs 0.738 0.250 0.460
Cs4 Cs 0.762 0.750 0.960
Sc1 Sc 0.019 0.250 0.354
Sc2 Sc 0.481 0.750 0.854
Sc3 Sc 0.519 0.250 0.146
Sc4 Sc 0.981 0.750 0.646
Zn1 Zn 0.014 0.750 0.103
Zn2 Zn 0.486 0.250 0.603
Zn3 Zn 0.514 0.750 0.397
Zn4 Zn 0.986 0.250 0.897
S1 S 0.073 0.750 0.882
S2 S 0.082 0.250 0.577
S3 S 0.117 0.750 0.263
S4 S 0.383 0.250 0.763
S5 S 0.418 0.750 0.077
S6 S 0.427 0.250 0.382
S7 S 0.573 0.750 0.618
S8 S 0.582 0.250 0.923
S9 S 0.617 0.750 0.237
S10 S 0.883 0.250 0.737
S11 S 0.918 0.750 0.423
S12 S 0.927 0.250 0.118
# Magnetic moment ... 0.000 μB per atom
# ρ ... 3.60 g/cm3
# Final energy ... -4.890 eV/atom

***

# ErZrSb, relaxed, DFT GGA-PBE
data_ErZrSb
_chemical_formula_sum 'Er2 Zr2 Sb2'
_symmetry_space_group_name_H-M 'P 1'
_symmetry_Int_Tables_number 1
_cell_length_a 8.792
_cell_length_b 8.792
_cell_length_c 8.792
_cell_angle_alpha 151.97
_cell_angle_beta 151.97
_cell_angle_gamma 40.05
loop_
_symmetry_equiv_pos_as_xyz
'x,y,z'
loop_
_atom_site_label
_atom_site_type_symbol
_atom_site_fract_x
_atom_site_fract_y
_atom_site_fract_z
Er1 Er 0.000 0.000 0.000
Er2 Er 0.354 0.354 0.000
Zr1 Zr 0.177 0.677 0.500
Zr2 Zr 0.677 0.177 0.500
Sb1 Sb 0.543 0.543 0.000
Sb2 Sb 0.811 0.811 0.000
# Magnetic moment ... 0.005 μB per atom
# ρ ... 8.43 g/cm3
# Final energy ... -6.526 eV/atom

***

# KNbFeS3, relaxed, DFT GGA-PBE
data_KNbFeS3
_chemical_formula_sum 'K2 Nb2 Fe2 S6'
_symmetry_space_group_name_H-M 'P 1'
_symmetry_Int_Tables_number 1
_cell_length_a 7.641
_cell_length_b 7.641
_cell_length_c 9.397
_cell_angle_alpha 90.00
_cell_angle_beta 90.00
_cell_angle_gamma 153.73
loop_
_symmetry_equiv_pos_as_xyz
'x,y,z'
loop_
_atom_site_label
_atom_site_type_symbol
_atom_site_fract_x
_atom_site_fract_y
_atom_site_fract_z
K1 K 0.248 0.752 0.750
K2 K 0.752 0.248 0.250
Nb1 Nb 0.500 0.500 0.000
Nb2 Nb 0.500 0.500 0.500
Fe1 Fe 0.029 0.971 0.250
Fe2 Fe 0.971 0.029 0.750
S1 S 0.117 0.883 0.058
S2 S 0.117 0.883 0.442
S3 S 0.431 0.569 0.250
S4 S 0.569 0.431 0.750
S5 S 0.883 0.117 0.558
S6 S 0.883 0.117 0.942
# Magnetic moment ... 0.361 μB per atom
# ρ ... 3.89 g/cm3
# Energy relative to the lowest polymorph listed for this composition ... 30.1 meV/atom

***

# TbSmBi, relaxed, DFT GGA-PBE
data_TbSmBi
_chemical_formula_sum 'Tb1 Sm1 Bi1'
_symmetry_space_group_name_H-M 'P 1'
_symmetry_Int_Tables_number 1
_cell_length_a 5.225
_cell_length_b 5.225
_cell_length_c 5.225
_cell_angle_alpha 60.00
_cell_angle_beta 60.00
_cell_angle_gamma 60.00
loop_
_symmetry_equiv_pos_as_xyz
'x,y,z'
loop_
_atom_site_label
_atom_site_type_symbol
_atom_site_fract_x
_atom_site_fract_y
_atom_site_fract_z
Tb1 Tb 0.000 0.000 0.000
Sm1 Sm 0.500 0.500 0.500
Bi1 Bi 0.750 0.750 0.750
# Magnetic moment ... 0.009 μB per atom
# ρ ... 8.53 g/cm3
# Final energy ... -4.829 eV/atom

***

# Er3Tm3NiTe2, relaxed, DFT GGA-PBE
data_Er3Tm3NiTe2
_chemical_formula_sum 'Er3 Tm3 Ni1 Te2'
_symmetry_space_group_name_H-M 'P 1'
_symmetry_Int_Tables_number 1
_cell_length_a 8.278
_cell_length_b 8.278
_cell_length_c 3.852
_cell_angle_alpha 90.00
_cell_angle_beta 90.00
_cell_angle_gamma 120.00
loop_
_symmetry_equiv_pos_as_xyz
'x,y,z'
loop_
_atom_site_label
_atom_site_type_symbol
_atom_site_fract_x
_atom_site_fract_y
_atom_site_fract_z
Er1 Er 0.000 0.399 0.000
Er2 Er 0.399 0.000 0.000
Er3 Er 0.601 0.601 0.000
Tm1 Tm 0.000 0.762 0.500
Tm2 Tm 0.238 0.238 0.500
Tm3 Tm 0.762 0.000 0.500
Ni1 Ni 0.000 0.000 0.000
Te1 Te 0.333 0.667 0.500
Te2 Te 0.667 0.333 0.500
# Magnetic moment ... 0.106 μB per atom
# ρ ... 9.61 g/cm3
# Energy relative to the lowest polymorph listed for this composition ... 0.0 meV/atom

***

# Sc2GaOs, relaxed, DFT GGA-PBE
data_Sc2GaOs
_chemical_formula_sum 'Sc4 Ga2 Os2'
_symmetry_space_group_name_H-M 'P 1'
_symmetry_Int_Tables_number 1
_cell_length_a 4.523
_cell_length_b 4.523
_cell_length_c 8.527
_cell_angle_alpha 90.00
_cell_angle_beta 90.00
_cell_angle_gamma 120.00
loop_
_symmetry_equiv_pos_as_xyz
'x,y,z'
loop_
_atom_site_label
_atom_site_type_symbol
_atom_site_fract_x
_atom_site_fract_y
_atom_site_fract_z
Sc1 Sc 0.333 0.667 0.091
Sc2 Sc 0.333 0.667 0.409
Sc3 Sc 0.667 0.333 0.591
Sc4 Sc 0.667 0.333 0.909
Ga1 Ga 0.000 0.000 0.250
Ga2 Ga 0.000 0.000 0.750
Os1 Os 0.333 0.667 0.750
Os2 Os 0.667 0.333 0.250
# Magnetic moment ... 0.004 μB per atom
# ρ ... 7.69 g/cm3
# Final energy ... -7.117 eV/atom

***

- Which formula does entry 5 have?
  GdPaAl